# 1
SnTe3O: optimized geometry, PBEsol.

The structure in extended XYZ format:
```
5
Lattice="-1.222 4.696 0.515 -1.165 0.216 -4.734 -4.578 -1.309 1.067" Properties=species:S:1:pos:R:3 pbc="T T T"
Te -0.582 0.108 -2.367
Te -2.289 -0.654 0.534
Te -0.611 2.348 0.258
Sn -3.483 1.802 -1.576
O 0.000 0.000 0.000
```

Output
The calculation puts the uncorrected formation energy at -0.21 eV per formula unit. The magnetization is 0.000 μB/atom.

=====

# 2
ZnSnTeO2: optimized geometry, PBEsol.

The structure in extended XYZ format:
```
5
Lattice="4.084 0.000 0.000 0.000 4.084 0.000 0.000 0.000 5.209" Properties=species:S:1:pos:R:3 pbc="T T T"
Zn 0.000 0.000 0.000
Te 0.000 0.000 2.605
Sn 2.042 2.042 2.605
O 0.000 2.042 0.000
O 2.042 0.000 0.000
```

Output
The calculation puts the uncorrected formation energy at -0.26 eV per formula unit. The magnetization is 0.224 μB/atom.

=====

# 3
TiSnO4: optimized geometry, PBEsol.

The structure in extended XYZ format:
```
18
Lattice="-3.674 3.130 2.878 -4.606 -3.101 0.869 0.090 -2.269 6.995" Properties=species:S:1:pos:R:3 pbc="T T T"
Ti -2.621 -1.550 6.022
Ti -2.841 -0.398 2.551
Ti 0.055 -2.265 6.999
Sn -5.415 -1.873 8.317
Sn -5.502 -0.729 4.812
Sn 0.033 -1.129 3.485
O -5.280 1.207 5.415
O -2.394 0.357 6.448
O -7.482 -0.619 5.388
O -4.517 -1.423 6.507
O -1.811 -2.167 7.560
O -0.762 -1.611 5.349
O -3.524 -0.831 4.210
O -6.450 -0.035 3.099
O -2.945 -3.334 5.258
O -3.895 1.227 2.321
O -5.854 -2.635 4.176
O -4.265 -1.247 1.523
```

Output
The calculation puts the uncorrected formation energy at -14.02 eV per formula unit. The calculation puts the offset from the most stable computed form at 6 kJ/mol of formula units. The magnetization is 0.000 μB/atom.

=====

# 4
Ti9SnO20: optimized geometry, PBEsol.

The structure in extended XYZ format:
```
30
Lattice="-3.688 -4.284 3.264 -1.470 0.635 -7.354 5.031 -5.044 -0.936" Properties=species:S:1:pos:R:3 pbc="T T T"
Ti -0.422 -2.463 -3.709
Ti 2.106 -4.944 -4.110
Ti 0.295 -6.230 -1.316
Ti 0.672 -4.664 1.164
Ti -2.233 -3.749 -0.916
Ti 2.324 -3.295 -1.699
Ti -2.451 -5.398 -3.327
Ti -0.183 -0.780 -1.230
Ti 0.056 -7.913 -3.795
Sn -1.844 -2.142 1.632
O -3.048 -5.404 -1.460
O -1.608 -3.730 -2.735
O 2.921 -3.289 -3.566
O -0.535 -4.797 -0.373
O 1.232 -7.737 -2.236
O 1.514 -6.114 0.212
O 0.740 -2.302 -2.186
O 0.407 -3.895 -4.652
O 1.481 -4.962 -2.291
O 1.798 -3.355 0.167
O -2.752 -3.865 0.978
O -1.264 -2.137 -0.339
O -0.455 -5.973 2.162
O 2.625 -4.827 -6.003
O -1.360 -0.955 -2.790
O -0.867 -6.390 -2.840
O -1.641 -2.578 -5.238
O 3.995 -4.380 -1.236
O -4.122 -4.313 -3.790
O 1.137 -6.556 -4.687
```

Output
The calculation puts the uncorrected formation energy at -86.84 eV per formula unit. The magnetization is 0.000 μB/atom.

=====

# 5
TiSnO4: optimized geometry, PBEsol.

The structure in extended XYZ format:
```
6
Lattice="3.071 0.000 0.000 0.000 4.699 0.001 0.000 -0.015 4.698" Properties=species:S:1:pos:R:3 pbc="T T T"
Sn 0.000 0.000 0.000
O 1.536 0.955 0.959
O 1.536 3.728 3.741
O 0.000 3.220 1.475
O 0.000 1.464 3.225
Ti 1.536 2.342 2.350
```

Output
The calculation puts the uncorrected formation energy at -14.08 eV per formula unit. The calculation puts the offset from the most stable computed form at 0 kJ/mol of formula units. The magnetization is 0.000 μB/atom.

=====

# 6
TiSnO4: optimized geometry, PBEsol.

The structure in extended XYZ format:
```
6
Lattice="-3.787 0.688 -0.015 -0.664 -3.676 -0.928 1.985 0.277 5.464" Properties=species:S:1:pos:R:3 pbc="T T T"
Sn 0.000 0.000 0.000
O -0.546 -2.917 3.965
O -2.366 -2.207 2.454
O -0.359 -1.975 0.100
O -0.100 -0.504 2.067
Ti -0.452 -2.446 2.033
```

Output
The calculation puts the uncorrected formation energy at -13.81 eV per formula unit. The calculation puts the offset from the most stable computed form at 27 kJ/mol of formula units. The magnetization is 0.000 μB/atom.

=====

# 7
Ti4SnO10: optimized geometry, PBEsol.

The structure in extended XYZ format:
```
30
Lattice="-4.053 2.231 -0.438 -0.359 -1.701 -5.241 -5.913 -9.547 6.278" Properties=species:S:1:pos:R:3 pbc="T T T"
Ti -7.406 -7.620 5.018
Ti -5.163 -4.508 0.299
Ti -2.920 -1.397 -4.419
Ti -8.468 -5.809 -0.221
Ti -2.957 -4.773 3.139
Ti -1.858 -3.208 0.820
Ti -4.703 0.550 -1.959
Ti -5.623 -9.567 2.558
Sn -4.033 -2.935 -2.017
Sn -6.293 -6.082 2.616
O -8.030 -6.381 1.577
O -6.846 -4.852 -0.741
O -5.787 -3.220 -3.041
O -4.244 -0.011 -0.118
O -9.074 -7.945 3.873
O -7.374 -5.796 4.338
O -6.206 -4.151 1.898
O -3.953 -1.008 -2.722
O -8.818 -9.077 1.309
O -5.143 -2.659 -0.297
O -6.373 -8.009 3.321
O -2.952 -3.221 -3.739
O -5.183 -6.358 0.896
O -4.120 -4.866 -1.299
O -1.508 0.060 -0.711
O -3.480 -4.165 1.340
O -6.082 -9.006 0.716
O -1.251 -1.072 -3.274
O -4.539 -5.796 3.640
O -2.296 -2.636 -0.978
```

Output
The calculation puts the uncorrected formation energy at -41.25 eV per formula unit. The magnetization is 0.000 μB/atom.

=====

# 8
Ti2Sn3O10: optimized geometry, PBEsol.

The structure in extended XYZ format:
```
30
Lattice="4.702 0.001 0.000 -0.006 4.702 0.000 0.000 0.000 15.582" Properties=species:S:1:pos:R:3 pbc="T T T"
Ti 0.000 0.000 0.072
Ti 0.000 0.000 6.274
Ti 0.000 0.000 9.288
Ti 2.348 2.352 1.516
Sn 0.000 0.000 3.099
Sn 0.000 0.000 12.470
Sn 2.348 2.352 10.874
Sn 2.348 2.352 7.770
Sn 2.348 2.352 4.663
Sn 2.348 2.352 14.100
O 0.871 3.827 7.777
O 0.932 3.766 1.483
O 0.891 3.806 4.739
O 0.889 3.808 10.816
O 0.890 3.807 14.125
O 1.411 1.413 0.114
O 1.451 1.453 3.035
O 1.437 1.440 12.483
O 1.392 1.394 6.233
O 1.392 1.394 9.311
O 3.285 3.290 0.114
O 3.245 3.250 3.035
O 3.304 3.309 6.233
O 3.304 3.309 9.311
O 3.259 3.264 12.483
O 3.825 0.877 7.777
O 3.764 0.938 1.483
O 3.805 0.897 4.739
O 3.807 0.895 10.816
O 3.806 0.896 14.125
```

Output
The calculation puts the uncorrected formation energy at -33.06 eV per formula unit. The magnetization is 0.000 μB/atom.

=====

# 9
Zr2TiSnO8: optimized geometry, PBEsol.

The structure in extended XYZ format:
```
12
Lattice="4.833 0.001 0.000 -0.074 5.132 0.000 0.000 0.000 5.669" Properties=species:S:1:pos:R:3 pbc="T T T"
Zr 0.000 0.000 4.674
Zr 2.380 2.566 3.938
Ti -0.037 2.566 1.037
Sn 2.416 0.000 1.807
O 1.352 0.870 3.403
O 1.008 3.447 5.110
O 3.751 1.686 5.110
O 3.407 4.263 3.403
O 3.573 1.720 2.171
O 3.664 4.159 0.595
O 1.095 0.973 0.595
O 1.186 3.413 2.171
```

Output
The calculation puts the uncorrected formation energy at -34.51 eV per formula unit. The magnetization is 0.000 μB/atom.

=====

# 10
Tl2SnO3: optimized geometry, PBEsol.

The structure in extended XYZ format:
```
24
Lattice="3.248 0.000 0.000 0.000 10.189 0.000 0.000 0.000 12.390" Properties=species:S:1:pos:R:3 pbc="T T T"
Tl 0.812 8.830 1.291
Tl 2.436 1.359 11.099
Tl 0.812 3.735 4.904
Tl 2.436 6.454 7.486
Tl 0.812 7.207 4.324
Tl 2.436 2.982 8.065
Tl 0.812 2.112 1.871
Tl 2.436 8.077 10.519
Sn 2.436 5.500 1.379
Sn 0.812 4.690 11.010
Sn 2.436 0.405 4.816
Sn 0.812 9.784 7.574
O 0.812 6.195 0.118
O 2.436 3.994 12.272
O 0.812 1.100 6.077
O 2.436 9.089 6.313
O 0.812 9.744 3.806
O 2.436 0.445 8.584
O 0.812 4.649 2.389
O 2.436 5.540 10.000
O 2.436 7.267 2.379
O 0.812 2.923 10.010
O 2.436 2.172 3.815
O 0.812 8.017 8.574
```

Output
The calculation puts the uncorrected formation energy at -6.94 eV per formula unit. The magnetization is 0.000 μB/atom.

=====

# 11
TlSn3O: optimized geometry, PBEsol.

The structure in extended XYZ format:
```
5
Lattice="-0.305 4.286 2.272 0.574 -2.229 4.281 4.817 0.537 -0.366" Properties=species:S:1:pos:R:3 pbc="T T T"
Tl 2.543 1.297 3.094
Sn 0.287 -1.114 2.141
Sn 2.409 0.269 -0.183
Sn -0.153 2.143 1.136
O 0.000 0.000 0.000
```

Output
The calculation puts the uncorrected formation energy at -1.28 eV per formula unit. The magnetization is 0.000 μB/atom.

=====

# 12
V2SnO7: optimized geometry, PBEsol.

The structure in extended XYZ format:
```
40
Lattice="8.805 0.000 0.000 0.000 8.805 0.000 0.000 0.000 8.805" Properties=species:S:1:pos:R:3 pbc="T T T"
V 1.016 7.789 3.386
V 1.016 5.418 7.789
V 3.386 3.386 3.386
V 3.386 1.016 7.789
V 5.418 5.418 5.418
V 5.418 7.789 1.016
V 7.789 1.016 5.418
V 7.789 3.386 1.016
Sn 0.000 0.000 0.000
Sn 0.000 4.402 4.402
Sn 4.402 0.000 4.402
Sn 4.402 4.402 0.000
O 0.000 0.000 4.402
O 0.000 4.402 0.000
O 0.537 6.183 3.573
O 0.537 7.024 7.975
O 0.829 4.940 6.183
O 0.829 8.267 1.780
O 1.780 0.829 8.267
O 1.780 3.573 3.865
O 2.622 5.231 8.267
O 2.622 7.975 3.865
O 3.573 0.537 6.183
O 3.573 3.865 1.780
O 3.865 2.622 7.975
O 3.865 1.780 3.573
O 4.402 4.402 4.402
O 4.402 0.000 0.000
O 4.940 6.183 0.829
O 4.940 7.024 5.231
O 5.231 4.940 7.024
O 5.231 8.267 2.622
O 6.183 0.829 4.940
O 6.183 3.573 0.537
O 7.024 5.231 4.940
O 7.024 7.975 0.537
O 7.975 0.537 7.024
O 7.975 3.865 2.622
O 8.267 1.780 0.829
O 8.267 2.622 5.231
```

Output
The calculation puts the uncorrected formation energy at -21.06 eV per formula unit. The magnetization is 0.000 μB/atom.

=====

# 13
VSnO4: optimized geometry, PBEsol.

The structure in extended XYZ format:
```
6
Lattice="-0.640 -0.448 -2.999 -3.858 -2.233 1.157 -2.309 3.984 -0.103" Properties=species:S:1:pos:R:3 pbc="T T T"
Sn -0.320 -0.224 -1.499
O -4.879 1.385 0.834
O -1.289 0.366 0.220
O -3.119 1.793 -1.204
O -3.688 -0.491 -0.741
V -3.084 0.876 0.527
```

Output
The calculation puts the uncorrected formation energy at -11.82 eV per formula unit. The magnetization is 0.167 μB/atom.

=====

# 14
SnW3O: optimized geometry, PBEsol.

The structure in extended XYZ format:
```
5
Lattice="-2.031 2.038 -3.017 -3.256 -2.563 0.460 -1.629 2.581 2.840" Properties=species:S:1:pos:R:3 pbc="T T T"
O 0.000 0.000 0.000
Sn -3.458 1.028 0.142
W -1.628 -1.281 0.230
W -0.815 1.290 1.420
W -1.015 1.019 -1.509
```

Output
The calculation puts the uncorrected formation energy at 1.18 eV per formula unit. The magnetization is 0.000 μB/atom.

=====

# 15
SnWO4: optimized geometry, PBEsol.

The structure in extended XYZ format:
```
24
Lattice="-3.043 -3.391 -1.999 2.471 -3.993 3.013 -7.705 1.790 8.691" Properties=species:S:1:pos:R:3 pbc="T T T"
Sn -3.908 -0.854 4.656
Sn -0.230 -1.944 0.196
Sn -4.369 -4.741 5.048
Sn -0.342 -5.441 0.818
W -4.943 -2.086 7.966
W -0.578 -3.810 4.245
W -3.335 -3.508 1.739
W -7.700 -1.785 5.459
O -3.489 -1.620 6.839
O -1.109 -3.248 5.978
O -6.661 -2.125 8.770
O 0.218 -4.798 2.835
O -4.789 -3.974 2.865
O -7.168 -2.347 3.727
O -1.617 -3.469 0.934
O -8.495 -0.796 6.870
O -5.256 -0.029 8.018
O -1.229 -0.194 2.169
O -6.032 -1.878 6.203
O -3.467 -1.704 2.004
O -3.022 -5.566 1.686
O -7.049 -5.400 7.535
O -2.246 -3.717 3.501
O -4.811 -3.891 7.700
```

Output
The calculation puts the uncorrected formation energy at -11.26 eV per formula unit. The magnetization is 0.000 μB/atom.

=====

# 16
Y2SnO2: optimized geometry, PBEsol.

The structure in extended XYZ format:
```
5
Lattice="3.769 0.000 0.000 0.000 3.769 0.000 -1.885 -1.885 6.919" Properties=species:S:1:pos:R:3 pbc="T T T"
Y 0.000 0.000 4.582
Y 1.885 1.885 2.337
Sn 0.000 0.000 0.000
O 0.000 1.885 3.460
O 1.885 0.000 3.460
```

Output
The calculation puts the uncorrected formation energy at -13.16 eV per formula unit. The magnetization is 0.000 μB/atom.

=====

# 17
Zn2Sn3O8: optimized geometry, PBEsol.

The structure in extended XYZ format:
```
26
Lattice="-5.914 -2.063 0.191 3.512 -0.071 5.189 -2.924 8.577 2.096" Properties=species:S:1:pos:R:3 pbc="T T T"
Zn -4.115 2.541 2.820
Zn -2.435 7.493 5.534
Zn -3.052 -0.578 2.058
Zn -1.372 4.374 4.772
Sn -0.564 1.827 2.269
Sn -6.576 4.740 2.594
Sn -1.784 0.743 5.001
Sn -3.572 5.788 2.497
Sn -4.792 4.704 5.229
Sn 1.220 1.790 4.904
O -5.404 1.374 1.782
O -2.336 7.027 3.566
O -3.539 5.958 6.260
O -2.443 2.407 1.686
O -3.645 1.339 4.380
O -0.577 6.991 6.165
O -3.190 4.292 3.928
O 0.161 0.036 5.385
O 1.247 1.000 2.953
O -5.863 3.360 4.014
O -0.409 1.199 0.293
O -1.871 5.487 1.341
O -0.724 2.474 4.308
O -4.777 4.325 1.583
O -1.426 0.068 3.040
O -5.328 6.099 3.690
```

Output
The calculation puts the uncorrected formation energy at -20.06 eV per formula unit. The calculation puts the offset from the most stable computed form at 0 kJ/mol of formula units. The magnetization is 0.000 μB/atom.